# 1
A plane-wave DFT calculation with PBE-GGA was carried out for EuLuNiHg after structural relaxation.

Cell: 5.0855 5.0855 5.0855 Å, 60.00 60.00 60.00°
Positions (direct):
1 Eu 0.0000 0.0000 0.0000
2 Lu 0.5000 0.5000 0.5000
3 Ni 0.2500 0.2500 0.2500
4 Hg 0.7500 0.7500 0.7500

Summary:
Energy of formation from the pure elements, eV/atom: -0.252

---

# 2
A plane-wave DFT calculation with PBE-GGA was carried out for Cs3Sm3ZrTe8 after structural relaxation.

Cell: 8.9718 8.9718 10.5242 Å, 115.26 115.26 60.02°
Positions (direct):
1 Cs 0.0000 0.0000 0.0000
2 Cs 0.0000 0.5000 0.0000
3 Cs 0.5000 0.0000 0.0000
4 Sm 0.0000 0.5000 0.5000
5 Sm 0.5000 0.0000 0.5000
6 Sm 0.5000 0.5000 0.5000
7 Zr 0.0000 0.0000 0.5000
8 Te 0.2195 0.7469 0.6856
9 Te 0.2195 0.2195 0.6857
10 Te 0.2531 0.7805 0.3144
11 Te 0.2684 0.2684 0.3055
12 Te 0.7316 0.7316 0.6945
13 Te 0.7469 0.2195 0.6856
14 Te 0.7805 0.7805 0.3143
15 Te 0.7805 0.2531 0.3144

---

These records have M_tot values of 6.948, 0.000 μB/f.u., in the order they appear.
These records have electronic total energy values of -5.4714, -4.6497 eV per atom, in the order they appear.